# 1
Here is Tb3NiAg2 after structural relaxation from Alexandria via LeMat-Bulk. Energies are from GGA-PBE.

Properties
Energy of formation: -91 kJ/mol of formula units

Geometry as CIF:
```
data_Tb3NiAg2
_chemical_formula_sum 'Tb12 Ni4 Ag8'
_cell_length_a 14.0935
_cell_length_b 5.8252
_cell_length_c 7.7370
_cell_angle_alpha 90.00
_cell_angle_beta 106.02
_cell_angle_gamma 90.00
_space_group_name_H-M_alt 'C 1 2/c 1'
_space_group_IT_number 15
loop_
_space_group_symop_operation_xyz
'x,y,z'
'-x,-y,-z'
'-x,y,-z+1/2'
'x,-y,z+1/2'
'x+1/2,y+1/2,z'
'-x+1/2,-y+1/2,-z'
'-x+1/2,y+1/2,-z+1/2'
'x+1/2,-y+1/2,z+1/2'
loop_
_atom_site_label
_atom_site_type_symbol
_atom_site_fract_x
_atom_site_fract_y
_atom_site_fract_z
Tb1 Tb 0.0000 0.9995 0.2500
Tb2 Tb 0.1369 0.4993 0.0693
Ni1 Ni 0.0000 0.4995 0.2500
Ag1 Ag 0.1838 0.0007 0.5910
```

# 2
Here is SrHgPS2 after structural relaxation from Alexandria via LeMat-Bulk. Energies are from GGA-PBE.

Properties
ΔE_f (raw): -47 meV per atom

Geometry as CIF:
```
data_SrHgPS2
_chemical_formula_sum 'Sr1 Hg1 P1 S2'
_cell_length_a 5.1882
_cell_length_b 5.1882
_cell_length_c 4.8971
_cell_angle_alpha 90.00
_cell_angle_beta 90.00
_cell_angle_gamma 90.00
_space_group_name_H-M_alt 'P 4/m m m'
_space_group_IT_number 123
_space_group_name_Hall '-P 4 2'
loop_
_atom_site_label
_atom_site_type_symbol
_atom_site_fract_x
_atom_site_fract_y
_atom_site_fract_z
Sr1 Sr 0.0000 0.0000 0.0000
Hg1 Hg 0.5000 0.5000 0.5000
P1 P 0.5000 0.5000 0.0000
S1 S 0.0000 0.5000 0.5000
```

# 3
Here is InReBr2 after structural relaxation from Alexandria via LeMat-Bulk. Energies are from GGA-PBE.

Properties
ΔE_f (raw): 268 meV per atom

Geometry as CIF:
```
data_InReBr2
_chemical_formula_sum 'In3 Re3 Br6'
_cell_length_a 3.5236
_cell_length_b 3.5236
_cell_length_c 26.5312
_cell_angle_alpha 90.00
_cell_angle_beta 90.00
_cell_angle_gamma 120.00
_space_group_name_H-M_alt 'R 3 m'
_space_group_IT_number 160
_space_group_name_Hall 'R 3 -2"'
loop_
_atom_site_label
_atom_site_type_symbol
_atom_site_fract_x
_atom_site_fract_y
_atom_site_fract_z
In1 In 0.0000 0.0000 0.0000
Re1 Re 0.0000 0.0000 0.2573
Br1 Br 0.0000 0.0000 0.5359
Br2 Br 0.0000 0.0000 0.7434
```

# 4
Here is ICl8 after structural relaxation from Alexandria via LeMat-Bulk. Energies are from GGA-PBE.

Properties
ΔE_f (raw): 123 meV per atom

Geometry as CIF:
```
data_ICl8
_chemical_formula_sum 'I2 Cl16'
_cell_length_a 10.1832
_cell_length_b 7.2749
_cell_length_c 11.6786
_cell_angle_alpha 90.00
_cell_angle_beta 115.79
_cell_angle_gamma 90.00
_space_group_name_H-M_alt 'C 1 2/m 1'
_space_group_IT_number 12
loop_
_space_group_symop_operation_xyz
'x,y,z'
'-x,-y,-z'
'-x,y,-z'
'x,-y,z'
'x+1/2,y+1/2,z'
'-x+1/2,-y+1/2,-z'
'-x+1/2,y+1/2,-z'
'x+1/2,-y+1/2,z'
loop_
_atom_site_label
_atom_site_type_symbol
_atom_site_fract_x
_atom_site_fract_y
_atom_site_fract_z
I1 I 0.0000 0.0000 0.0000
Cl1 Cl 0.0644 0.0000 0.6922
Cl2 Cl 0.1283 0.5000 0.6916
Cl3 Cl 0.1485 0.0000 0.2977
Cl4 Cl 0.2392 0.0000 0.0003
```